Arrangement w

! EuIn2As | Alexandria via LeMat-Bulk | GGA-PBE | optimized geometry; values from VASP
! crystal system = tetragonal
! D(E_F) = 0.6127 states/eV per atom
&SYSTEM
  ibrav = 0, nat = 4, ntyp = 3
/
ATOMIC_SPECIES
Eu 151.96 Eu.upf
As 74.92 As.upf
In 114.82 In.upf
ATOMIC_POSITIONS crystal
Eu 0.5000 0.0000 0.0000
As 0.5000 0.5000 0.5000
In 0.0000 0.0000 0.5000
In 0.0000 0.5000 0.0000
CELL_PARAMETERS angstrom
5.2015 0.0000 0.0000
0.0000 4.4140 0.0000
0.0000 0.0000 4.4140

=====

Arrangement x

! EuIn2As | Alexandria via LeMat-Bulk | GGA-PBE | optimized geometry; values from VASP
! crystal system = trigonal
! D(E_F) = 2.5960 states/eV per atom
&SYSTEM
  ibrav = 0, nat = 4, ntyp = 3
/
ATOMIC_SPECIES
Eu 151.96 Eu.upf
As 74.92 As.upf
In 114.82 In.upf
ATOMIC_POSITIONS crystal
Eu 0.0000 0.0000 0.0000
As 0.5000 0.5000 0.5000
In 0.1135 0.1135 0.6596
In 0.8865 0.8865 0.3404
CELL_PARAMETERS angstrom
-2.3442 -0.6402 -3.2575
1.6705 -0.1901 -3.7000
0.9842 -10.0290 -1.2724

=====

The structure with the most favorable energy is arrangement w; the runner-up is 0.510 eV/atom above it.

=====

Arrangement w

! LaEuAs | Alexandria via LeMat-Bulk | GGA-PBE | optimized geometry; values from VASP
! crystal system = tetragonal
! D(E_F) = 1.5411 states/eV per atom
&SYSTEM
  ibrav = 0, nat = 3, ntyp = 3
/
ATOMIC_SPECIES
Eu 151.96 Eu.upf
As 74.92 As.upf
La 138.91 La.upf
ATOMIC_POSITIONS crystal
Eu 0.0400 0.0400 0.0801
As 0.6753 0.6753 0.3506
La 0.2847 0.2847 0.5693
CELL_PARAMETERS angstrom
3.8231 0.0000 0.0000
0.0000 3.8231 0.0000
-1.9115 -1.9115 6.7504

=====

Arrangement x

! LaEuAs | Alexandria via LeMat-Bulk | GGA-PBE | optimized geometry; values from VASP
! crystal system = trigonal
! D(E_F) = 2.9573 states/eV per atom
&SYSTEM
  ibrav = 0, nat = 3, ntyp = 3
/
ATOMIC_SPECIES
Eu 151.96 Eu.upf
As 74.92 As.upf
La 138.91 La.upf
ATOMIC_POSITIONS crystal
Eu 0.7476 0.6667 0.3333
As 0.0053 0.0000 0.0000
La 0.2471 0.3333 0.6667
CELL_PARAMETERS angstrom
6.7526 0.0000 0.0000
0.0000 4.3067 0.0000
0.0000 -2.1534 3.7298

=====

The structure with the most favorable energy is arrangement x; the runner-up is 0.062 eV/atom above it.

=====

Arrangement w

! EuMoAs2 | Alexandria via LeMat-Bulk | GGA-PBE | optimized geometry; values from VASP
! crystal system = trigonal
! D(E_F) = 0.7557 states/eV per atom
&SYSTEM
  ibrav = 0, nat = 4, ntyp = 3
/
ATOMIC_SPECIES
Eu 151.96 Eu.upf
Mo 95.94 Mo.upf
As 74.92 As.upf
ATOMIC_POSITIONS crystal
Eu 0.5000 0.5000 0.5000
Mo 0.0000 0.0000 0.0000
As 0.2639 0.2639 0.2082
As 0.7361 0.7361 0.7918
CELL_PARAMETERS angstrom
3.8425 0.0000 0.0000
1.9213 3.3277 0.0000
1.9213 1.1092 6.6695

=====

Arrangement x

! EuMoAs2 | Alexandria via LeMat-Bulk | GGA-PBE | optimized geometry; values from VASP
! crystal system = tetragonal
! D(E_F) = 0.4963 states/eV per atom
&SYSTEM
  ibrav = 0, nat = 4, ntyp = 3
/
ATOMIC_SPECIES
Eu 151.96 Eu.upf
Mo 95.94 Mo.upf
As 74.92 As.upf
ATOMIC_POSITIONS crystal
Eu 0.5000 0.5000 0.5000
Mo 0.5000 0.5000 0.0000
As 0.0000 0.0000 0.7996
As 0.0000 0.0000 0.2004
CELL_PARAMETERS angstrom
-2.8044 -0.7200 -1.4585
0.7179 -3.1565 0.1779
-3.2954 -0.3817 6.5248

=====

The structure with the most favorable energy is arrangement w; the runner-up is 0.034 eV/atom above it.

=====

Arrangement w

! NaEu2As | Alexandria via LeMat-Bulk | GGA-PBE | optimized geometry; values from VASP
! crystal system = trigonal
! D(E_F) = 4.8505 states/eV per atom
&SYSTEM
  ibrav = 0, nat = 4, ntyp = 3
/
ATOMIC_SPECIES
Eu 151.96 Eu.upf
Na 22.99 Na.upf
As 74.92 As.upf
ATOMIC_POSITIONS crystal
Eu 0.1164 0.1164 0.6507
Eu 0.8836 0.8836 0.3493
Na 0.0000 0.0000 0.0000
As 0.5000 0.5000 0.5000
CELL_PARAMETERS angstrom
-0.8565 -2.7357 3.1728
3.0727 -1.0994 2.7630
-2.0749 7.0956 8.4394

=====

Arrangement x

! NaEu2As | Alexandria via LeMat-Bulk | GGA-PBE | optimized geometry; values from VASP
! crystal system = tetragonal
! D(E_F) = 0.4379 states/eV per atom
&SYSTEM
  ibrav = 0, nat = 4, ntyp = 3
/
ATOMIC_SPECIES
Eu 151.96 Eu.upf
Na 22.99 Na.upf
As 74.92 As.upf
ATOMIC_POSITIONS crystal
Eu 0.0000 0.0000 0.8141
Eu 0.0000 0.0000 0.1859
Na 0.5000 0.5000 0.5000
As 0.5000 0.5000 0.0000
CELL_PARAMETERS angstrom
-1.2547 3.4365 1.3560
-0.0961 -1.4620 3.6161
7.9680 2.4368 1.1970

=====

The structure with the most favorable energy is arrangement x; the runner-up is 0.037 eV/atom above it.

=====

Arrangement w

! Eu2AsPb | Alexandria via LeMat-Bulk | GGA-PBE | optimized geometry; values from VASP
! crystal system = trigonal
! D(E_F) = 4.7874 states/eV per atom
&SYSTEM
  ibrav = 0, nat = 4, ntyp = 3
/
ATOMIC_SPECIES
Pb 207.20 Pb.upf
Eu 151.96 Eu.upf
As 74.92 As.upf
ATOMIC_POSITIONS crystal
Pb 0.5000 0.5000 0.5000
Eu 0.7337 0.7337 0.7990
Eu 0.2663 0.2663 0.2010
As 0.0000 0.0000 0.0000
CELL_PARAMETERS angstrom
4.1644 0.0000 0.0000
2.0822 3.6065 0.0000
2.0822 1.2022 8.6580

=====

Arrangement x

! Eu2AsPb | Alexandria via LeMat-Bulk | GGA-PBE | optimized geometry; values from VASP
! crystal system = tetragonal
! D(E_F) = 0.7030 states/eV per atom
&SYSTEM
  ibrav = 0, nat = 4, ntyp = 3
/
ATOMIC_SPECIES
Pb 207.20 Pb.upf
Eu 151.96 Eu.upf
As 74.92 As.upf
ATOMIC_POSITIONS crystal
Pb 0.5000 0.5000 0.5000
Eu 0.0000 0.0000 0.7922
Eu 0.0000 0.0000 0.2078
As 0.5000 0.5000 0.0000
CELL_PARAMETERS angstrom
3.6853 0.0000 0.0000
0.0000 3.6853 0.0000
0.0000 0.0000 8.4932

=====

The structure with the most favorable energy is arrangement x; the runner-up is 0.014 eV/atom above it.

=====

Arrangement w

! EuAsPb2 | Alexandria via LeMat-Bulk | GGA-PBE | optimized geometry; values from VASP
! crystal system = tetragonal
! D(E_F) = 0.5413 states/eV per atom
&SYSTEM
  ibrav = 0, nat = 4, ntyp = 3
/
ATOMIC_SPECIES
Pb 207.20 Pb.upf
Eu 151.96 Eu.upf
As 74.92 As.upf
ATOMIC_POSITIONS crystal
Pb 0.0000 0.0000 0.5000
Pb 0.0000 0.5000 0.0000
Eu 0.5000 0.5000 0.5000
As 0.5000 0.0000 0.0000
CELL_PARAMETERS angstrom
5.0578 0.0000 0.0000
0.0000 4.6707 0.0000
0.0000 0.0000 4.6707

=====

Arrangement x

! EuAsPb2 | Alexandria via LeMat-Bulk | GGA-PBE | optimized geometry; values from VASP
! crystal system = trigonal
! D(E_F) = 1.6372 states/eV per atom
&SYSTEM
  ibrav = 0, nat = 4, ntyp = 3
/
ATOMIC_SPECIES
Pb 207.20 Pb.upf
Eu 151.96 Eu.upf
As 74.92 As.upf
ATOMIC_POSITIONS crystal
Pb 0.1078 0.1078 0.6766
Pb 0.8922 0.8922 0.3234
Eu 0.0000 0.0000 0.0000
As 0.5000 0.5000 0.5000
CELL_PARAMETERS angstrom
-3.6681 0.9343 -1.1187
-3.0263 -0.5951 2.4630
-0.9789 9.6249 4.2852

=====

The structure with the most favorable energy is arrangement w; the runner-up is 0.456 eV/atom above it.